Lu3In3IrAu | GGA-PBE | relaxed

Unit cell a=7.6716 b=7.6716 c=3.5753 alpha=90.00 beta=90.00 gamma=120.00
Closest atoms and distances in Å follow each position.
Positions (direct):
Au 0.3333 0.6667 0.0000  6 Lu 3.01, 3 In 3.03
In 0.7695 0.0022 0.0000  1 Ir 3.01, 1 Au 3.03, 2 In 3.08, 4 Lu 3.22-3.24
In 0.2326 0.2305 0.0000  1 Ir 3.01, 1 Au 3.03, 2 In 3.08, 4 Lu 3.22-3.24
In 0.9978 0.7674 0.0000  1 Ir 3.01, 1 Au 3.03, 2 In 3.08, 4 Lu 3.22-3.24
Ir 0.6667 0.3333 0.0000  6 Lu 2.82, 3 In 3.01
Lu 0.4291 0.0194 0.5000  2 Ir 2.82, 2 Au 3.01
Lu 0.9806 0.4097 0.5000  2 Ir 2.82, 2 Au 3.01
Lu 0.5903 0.5709 0.5000  2 Ir 2.82, 2 Au 3.01

Calculated values
M_tot = 0.0 μB per cell
Final energy = -4.936 eV/atom